Density functional theory data (GGA+U) for a relaxed structure of CaZr2MoO8.

## Properties
The value obtained for the volume is 13.28 Å³ per atom. For the calculated total energy, the calculation gives -8.18 eV/atom. Its spin magnetization is 0.0 μB per cell.

a b c (Å): 4.911 6.605 4.915
angles (deg): 90.00 90.77 90.00
Sites, in units of the cell vectors:
Ca 0.000 0.000 0.000
Zr 0.500 0.246 0.500
Zr 0.500 0.754 0.500
Mo 0.000 0.500 0.000
O 0.196 0.291 0.195
O 0.196 0.709 0.195
O 0.287 0.500 0.712
O 0.318 0.000 0.680
O 0.682 0.000 0.320
O 0.713 0.500 0.288
O 0.804 0.291 0.805
O 0.804 0.709 0.805